1.
Here is a geometry-optimized TmThHgRh structure from Alexandria via LeMat-Bulk. Energies are from PBE-GGA.

Unit cell a=5.134 b=5.134 c=5.134 alpha=60.00 beta=60.00 gamma=60.00
Positions (direct):
Th (0.250, 0.250, 0.250)
Hg (0.000, 0.000, 0.000)
Tm (0.750, 0.750, 0.750)
Rh (0.500, 0.500, 0.500)

Summary:
The calculation puts the energy of formation from the pure elements at -0.49 eV/atom. Its symmetry is F-43m. As for the magnetic moment: 0.00 μB per cell.

---

2.
Here is a geometry-optimized Th2ZnHgRh structure from Alexandria via LeMat-Bulk. Energies are from PBE-GGA.

Unit cell a=4.052 b=8.088 c=8.005 alpha=111.18 beta=90.00 gamma=90.00
Positions (direct):
Zn (0.250, 0.560, 0.636)
Zn (0.750, 0.440, 0.364)
Rh (0.250, 0.884, 0.888)
Rh (0.750, 0.116, 0.112)
Th (0.250, 0.296, 0.998)
Th (0.750, 0.704, 0.002)
Th (0.250, 0.105, 0.355)
Th (0.750, 0.895, 0.645)
Hg (0.250, 0.681, 0.318)
Hg (0.750, 0.319, 0.682)

Summary:
The calculation puts the energy of formation from the pure elements at -0.49 eV/atom. Its symmetry is P2_1/m. As for the magnetic moment: 0.00 μB per cell.

---

3.
Here is a geometry-optimized Ti2HgRh3 structure from Alexandria via LeMat-Bulk. Energies are from PBE-GGA.

Unit cell a=3.148 b=3.148 c=9.638 alpha=90.00 beta=90.00 gamma=90.00
Positions (direct):
Ti (0.500, 0.500, 0.164)
Ti (0.500, 0.500, 0.836)
Rh (0.000, 0.000, 0.000)
Rh (0.000, 0.000, 0.703)
Rh (0.000, 0.000, 0.297)
Hg (0.500, 0.500, 0.500)

Summary:
The calculation puts the energy of formation from the pure elements at -0.60 eV/atom. Its symmetry is P4/mmm. As for the magnetic moment: 0.00 μB per cell.

---

4.
Here is a geometry-optimized Ti3HgRh structure from Alexandria via LeMat-Bulk. Energies are from PBE-GGA.

Unit cell a=4.725 b=4.725 c=4.725 alpha=90.00 beta=90.00 gamma=90.00
Site moments in Bohr magnetons follow the coordinates.
Positions (direct):
Hg (0.500, 0.500, 0.500)  0.01
Ti (0.500, 0.000, 0.000)  0.32
Ti (0.000, 0.500, 0.000)  0.16
Ti (0.000, 0.000, 0.500)  0.10
Rh (0.000, 0.000, 0.000)  -0.01

Summary:
The calculation puts the energy of formation from the pure elements at 0.29 eV/atom. Its symmetry is Pm-3m. The value obtained for the energy above the most stable polymorph in this dataset is 0 meV/atom. As for the magnetic moment: 0.75 μB per cell.

---

5.
Here is a geometry-optimized TiHg2Rh2 structure from Alexandria via LeMat-Bulk. Energies are from PBE-GGA.

Unit cell a=6.476 b=6.476 c=4.341 alpha=90.00 beta=90.00 gamma=90.00
Positions (direct):
Hg (0.834, 0.334, 0.500)
Hg (0.666, 0.834, 0.500)
Hg (0.334, 0.166, 0.500)
Hg (0.166, 0.666, 0.500)
Ti (0.500, 0.500, 0.000)
Ti (0.000, 0.000, 0.000)
Rh (0.143, 0.357, 0.000)
Rh (0.357, 0.857, 0.000)
Rh (0.857, 0.643, 0.000)
Rh (0.643, 0.143, 0.000)

Summary:
The calculation puts the energy of formation from the pure elements at -0.11 eV/atom. Its symmetry is P4/mbm. As for the magnetic moment: 0.00 μB per cell.

---

6.
Here is a geometry-optimized Ti3HgRh structure from Alexandria via LeMat-Bulk. Energies are from PBE-GGA.

Unit cell a=4.890 b=4.890 c=4.890 alpha=90.00 beta=90.00 gamma=90.00
Site moments in Bohr magnetons follow the coordinates.
Positions (direct):
Ti (0.500, 0.000, 0.000)  0.51
Ti (0.000, 0.500, 0.000)  0.41
Ti (0.000, 0.000, 0.500)  0.35
Hg (0.000, 0.000, 0.000)  0.01
Rh (0.500, 0.500, 0.500)  -0.24

Summary:
The calculation puts the energy of formation from the pure elements at 1.34 eV/atom. Its symmetry is Pm-3m. The value obtained for the energy above the most stable polymorph in this dataset is 1051 meV/atom. As for the magnetic moment: 1.51 μB per cell.

---

7.
Here is a geometry-optimized Ti5HgRh4 structure from Alexandria via LeMat-Bulk. Energies are from PBE-GGA.

Unit cell a=2.982 b=2.982 c=17.717 alpha=90.00 beta=90.00 gamma=90.00
Site moments in Bohr magnetons follow the coordinates.
Positions (direct):
Rh (0.000, 0.000, 0.403)  -0.01
Rh (0.000, 0.000, 0.217)  0.00
Rh (0.000, 0.000, 0.783)  0.00
Rh (0.000, 0.000, 0.597)  -0.01
Ti (0.500, 0.500, 0.119)  0.46
Ti (0.500, 0.500, 0.881)  0.46
Ti (0.500, 0.500, 0.500)  0.02
Ti (0.500, 0.500, 0.691)  -0.06
Ti (0.500, 0.500, 0.309)  -0.06
Hg (0.000, 0.000, 0.000)  0.00

Summary:
The calculation puts the energy of formation from the pure elements at -0.60 eV/atom. Its symmetry is P4/mmm. As for the magnetic moment: 0.98 μB per cell.

---

8.
Here is a geometry-optimized TiHgRh structure from Alexandria via LeMat-Bulk. Energies are from PBE-GGA.

Unit cell a=3.019 b=4.352 c=8.480 alpha=90.00 beta=100.25 gamma=90.00
Positions (direct):
Rh (0.554, 0.750, 0.109)
Rh (0.446, 0.250, 0.891)
Hg (0.204, 0.750, 0.408)
Hg (0.796, 0.250, 0.592)
Ti (0.075, 0.250, 0.149)
Ti (0.925, 0.750, 0.851)

Summary:
The calculation puts the energy of formation from the pure elements at -0.33 eV/atom. Its symmetry is Cmcm. As for the magnetic moment: 0.00 μB per cell.

---

9.
Here is a geometry-optimized Ti2HgRh2 structure from Alexandria via LeMat-Bulk. Energies are from PBE-GGA.

Unit cell a=7.593 b=7.593 c=2.920 alpha=90.00 beta=90.00 gamma=90.00
Positions (direct):
Hg (0.000, 0.000, 0.000)
Hg (0.500, 0.500, 0.000)
Ti (0.353, 0.853, 0.000)
Ti (0.147, 0.353, 0.000)
Ti (0.647, 0.147, 0.000)
Ti (0.853, 0.647, 0.000)
Rh (0.140, 0.640, 0.500)
Rh (0.860, 0.360, 0.500)
Rh (0.640, 0.860, 0.500)
Rh (0.360, 0.140, 0.500)

Summary:
The calculation puts the energy of formation from the pure elements at -0.39 eV/atom. Its symmetry is P4/mbm. The value obtained for the energy above the most stable polymorph in this dataset is 135 meV/atom. As for the magnetic moment: 0.00 μB per cell.

---

10.
Here is a geometry-optimized Ti4HgRh5 structure from Alexandria via LeMat-Bulk. Energies are from PBE-GGA.

Unit cell a=3.160 b=3.160 c=15.584 alpha=90.00 beta=90.00 gamma=90.00
Positions (direct):
Ti (0.000, 0.000, 0.794)
Ti (0.000, 0.000, 0.404)
Ti (0.000, 0.000, 0.596)
Ti (0.000, 0.000, 0.206)
Rh (0.500, 0.500, 0.692)
Rh (0.500, 0.500, 0.876)
Rh (0.500, 0.500, 0.124)
Rh (0.500, 0.500, 0.308)
Rh (0.500, 0.500, 0.500)
Hg (0.000, 0.000, 0.000)

Summary:
The calculation puts the energy of formation from the pure elements at -0.65 eV/atom. Its symmetry is P4/mmm. As for the magnetic moment: 0.00 μB per cell.

---

11.
Here is a geometry-optimized Ti4HgRh structure from Alexandria via LeMat-Bulk. Energies are from PBE-GGA.

Unit cell a=3.065 b=3.065 c=10.827 alpha=90.00 beta=90.00 gamma=90.00
Positions (direct):
Hg (0.000, 0.000, 0.000)
Ti (0.000, 0.000, 0.352)
Ti (0.500, 0.500, 0.188)
Ti (0.500, 0.500, 0.812)
Ti (0.000, 0.000, 0.648)
Rh (0.500, 0.500, 0.500)

Summary:
The calculation puts the energy of formation from the pure elements at -0.34 eV/atom. Its symmetry is P4/mmm. As for the magnetic moment: 0.00 μB per cell.

---

12.
Here is a geometry-optimized Ti2HgRh2 structure from Alexandria via LeMat-Bulk. Energies are from PBE-GGA.

Unit cell a=3.855 b=3.855 c=6.718 alpha=73.33 beta=73.33 gamma=90.00
Positions (direct):
Ti (0.381, 0.381, 0.238)
Ti (0.619, 0.619, 0.762)
Rh (0.250, 0.750, 0.500)
Rh (0.750, 0.250, 0.500)
Hg (0.000, 0.000, 0.000)

Summary:
The calculation puts the energy of formation from the pure elements at -0.23 eV/atom. Its symmetry is I4/mmm. The value obtained for the energy above the most stable polymorph in this dataset is 303 meV/atom. As for the magnetic moment: 0.00 μB per cell.

---

Number 1: theoretical density 12.22 g cm⁻³. Number 2: theoretical density 11.31 g cm⁻³. Number 3: theoretical density 10.52 g cm⁻³. Number 4: theoretical density 7.04 g cm⁻³. Number 5: theoretical density 11.94 g cm⁻³. Number 6: theoretical density 6.35 g cm⁻³. Number 7: theoretical density 8.98 g cm⁻³. Number 8: theoretical density 10.64 g cm⁻³. Number 9: theoretical density 9.91 g cm⁻³. Number 10: theoretical density 9.68 g cm⁻³. Number 11: theoretical density 8.08 g cm⁻³. Number 12: theoretical density 9.14 g cm⁻³.